1.
This record from Alexandria via LeMat-Bulk describes a geometry-optimized Np3As2H structure. The functional is PBE.

```
Np3As2H
1.0
-4.1326 0.1779 -1.4881
-1.1178 -7.4865 2.2092
0.5621 7.8772 5.8741
Np As H
6 4 2
Direct
0.4983 0.2500 0.0000
0.1598 0.9891 0.3189
0.5017 0.7500 0.0000
0.1591 0.4891 0.3189
0.8402 0.0109 0.6811
0.8409 0.5109 0.6811
0.6477 0.2214 0.2953
0.6476 0.7214 0.2953
0.3524 0.2786 0.7047
0.3523 0.7786 0.7047
0.9984 0.2500 0.0000
0.0016 0.7500 0.0000
```

- Fermi-level density of states: 16.54 states/eV/f.u.
- DFT total energy: -0.3278 Ha/atom

---

2.
This record from Alexandria via LeMat-Bulk describes a geometry-optimized Pm7In2Co2 structure. The functional is PBE.

```
Pm7In2Co2
1.0
6.8695 -0.0028 -0.9241
0.0029 7.1294 0.0034
-1.3503 -0.0022 6.7986
Pm In Co
7 2 2
Direct
0.0002 0.7559 0.4997
0.9998 0.2441 0.5003
0.5002 0.7642 0.4998
0.0000 0.0000 0.0000
0.4997 0.2441 0.0002
0.4998 0.2358 0.5002
0.5003 0.7559 0.9998
0.8259 0.5000 0.8259
0.1741 0.5000 0.1741
0.2934 0.0000 0.7066
0.7066 0.0000 0.2934
```

- Fermi-level density of states: 10.28 states/eV/f.u.
- Formation enthalpy at 0 K: -0.15 eV/atom

---

3.
This record from Alexandria via LeMat-Bulk describes a geometry-optimized CsGa2Ge structure. The functional is PBE.

```
CsGa2Ge
1.0
-2.7461 3.3310 -0.2402
-1.6724 1.1522 -3.8170
-7.2762 -3.2090 -0.2294
Cs Ga Ge
1 2 1
Direct
0.5000 0.5000 0.5000
0.7136 0.7136 0.8591
0.2864 0.2864 0.1409
0.0000 0.0000 0.0000
```

- Fermi-level density of states: 2.57 states/eV/f.u.
- Formation enthalpy at 0 K: -0.03 eV/atom